A crystal of ReAuSe2N relaxed with PBEsol. Source: the Alexandria database, functional meta-GGA SCAN. Values from VASP.

The value obtained for the volume is 19.02 A^3/atom. For the uncorrected formation energy, the calculation gives 1.795 eV/atom. The space group is No. 123.

The structure in Quantum ESPRESSO input format:
```
&SYSTEM
  ibrav = 0, nat = 5, ntyp = 4
/
ATOMIC_SPECIES
Re 186.21 Re.upf
Se 78.96 Se.upf
Au 196.97 Au.upf
N 14.01 N.upf
ATOMIC_POSITIONS crystal
Re 0.500 0.500 0.500
Se 0.000 0.500 0.000
Au 0.000 0.000 0.000
Se 0.000 0.000 0.500
N 0.500 0.000 0.000
CELL_PARAMETERS angstrom
-0.116 -3.626 0.254
4.998 -0.085 1.081
-1.072 0.384 4.986
```